Material: CuOsAu2
Method: DFT, GGA-PBE
State: optimized geometry

Cell lengths 3.948, 3.948, 4.032 Å; angles 90.00, 90.00, 90.00 degrees
Positions (direct):
Cu: 0.000 0.000 0.000
Os: 0.500 0.500 0.000
Au: 0.000 0.500 0.500
Au: 0.500 0.000 0.500

Results
Space-group type: No. 123
Energy above the lowest structure with this stoichiometry (meV per atom): 316
V (Å³/atom): 15.71
Density (g/cm³): 17.1
ΔH_f (0 K) (eV per formula unit): 2.47



Material: CuOs2Au
Method: DFT, GGA-PBE
State: optimized geometry

Cell lengths 9.224, 9.224, 9.224 Å; angles 17.07, 17.07, 17.07 degrees
Positions (direct):
Cu: 0.000 0.000 0.000
Os: 0.256 0.256 0.256
Os: 0.744 0.744 0.744
Au: 0.500 0.500 0.500

Results
Space-group type: No. 166
Energy above the lowest structure with this stoichiometry (meV per atom): 257
V (Å³/atom): 14.75
Density (g/cm³): 18.0
ΔH_f (0 K) (eV per formula unit): 2.04



Material: CuOs2Au
Method: DFT, GGA-PBE
State: optimized geometry

Cell lengths 2.739, 4.090, 5.324 Å; angles 90.00, 90.00, 90.00 degrees
Positions (direct):
Cu: 0.000 0.000 0.000
Os: 0.500 0.500 0.226
Os: 0.500 0.500 0.774
Au: 0.000 0.000 0.500

Results
Space-group type: No. 47
Energy above the lowest structure with this stoichiometry (meV per atom): 409
V (Å³/atom): 14.91
Density (g/cm³): 17.8
ΔH_f (0 K) (eV per formula unit): 2.65